1.
# KCa2Y | Alexandria | GGA-PBE | relaxed
# formation energy from the elements = 0.3576 eV/atom
# excess energy over the best structure of this formula in the dataset = 0.2035 eV/atom
# ρ = 2.053 g/cm³
data_KCa2Y
_space_group_name_H-M_alt 'P m m m'
_space_group_IT_number 47
_space_group_name_Hall '-P 2 2'
_cell_length_a 4.0092
_cell_length_b 6.3790
_cell_length_c 6.5830
_cell_angle_alpha 90.00
_cell_angle_beta 90.00
_cell_angle_gamma 90.00
loop_
_atom_site_label
_atom_site_type_symbol
_atom_site_fract_x
_atom_site_fract_y
_atom_site_fract_z
K1 K 0.0000 0.0000 0.0000
Ca1 Ca 0.0000 0.5000 0.5000
Ca2 Ca 0.5000 0.5000 0.0000
Y1 Y 0.5000 0.0000 0.5000

=====

2.
# CrCd | Alexandria | GGA-PBE | relaxed
# formation energy from the elements = 0.5651 eV/atom
# ρ = 7.748 g/cm³
data_CrCd
_space_group_name_H-M_alt 'P 63/m m c'
_space_group_IT_number 194
_space_group_name_Hall '-P 6c 2c'
_cell_length_a 8.7296
_cell_length_b 8.7296
_cell_length_c 3.2033
_cell_angle_alpha 90.00
_cell_angle_beta 90.00
_cell_angle_gamma 120.00
loop_
_atom_site_label
_atom_site_type_symbol
_atom_site_fract_x
_atom_site_fract_y
_atom_site_fract_z
Cr1 Cr 0.0989 0.5495 0.2500
Cd1 Cd 0.1631 0.3262 0.7500

=====

3.
# TbPuZr2 | Alexandria | GGA-PBE | relaxed
# formation energy from the elements = 0.1783 eV/atom
# excess energy over the best structure of this formula in the dataset = 0.0230 eV/atom
# ρ = 9.505 g/cm³
data_TbPuZr2
_space_group_name_H-M_alt 'P 4/m m m'
_space_group_IT_number 123
_space_group_name_Hall '-P 4 2'
_cell_length_a 3.8051
_cell_length_b 3.8051
_cell_length_c 7.0629
_cell_angle_alpha 90.00
_cell_angle_beta 90.00
_cell_angle_gamma 90.00
loop_
_atom_site_label
_atom_site_type_symbol
_atom_site_fract_x
_atom_site_fract_y
_atom_site_fract_z
Tb1 Tb 0.0000 0.0000 0.0000
Pu1 Pu 0.0000 0.0000 0.5000
Zr1 Zr 0.5000 0.5000 0.2853

=====

4.
# SmZn2Ge2 | Alexandria | GGA-PBE | relaxed
# formation energy from the elements = -0.3237 eV/atom
# excess energy over the best structure of this formula in the dataset = 0.0285 eV/atom
# ρ = 7.142 g/cm³
data_SmZn2Ge2
_space_group_name_H-M_alt 'P n m a'
_space_group_IT_number 62
_space_group_name_Hall '-P 2ac 2n'
_cell_length_a 7.7739
_cell_length_b 4.6248
_cell_length_c 11.0316
_cell_angle_alpha 90.00
_cell_angle_beta 90.00
_cell_angle_gamma 90.00
loop_
_atom_site_label
_atom_site_type_symbol
_atom_site_fract_x
_atom_site_fract_y
_atom_site_fract_z
Sm1 Sm 0.2388 0.2500 0.1850
Zn1 Zn 0.0903 0.2500 0.4602
Zn2 Zn 0.1031 0.2500 0.8494
Ge1 Ge 0.0663 0.7500 0.3407
Ge2 Ge 0.0897 0.7500 0.9646

=====

5.
# Ac8CoRh3 | Alexandria | GGA-PBE | relaxed
# formation energy from the elements = -0.4293 eV/atom
# ρ = 8.283 g/cm³
data_Ac8CoRh3
_space_group_name_H-M_alt 'C 1 2/m 1'
_space_group_IT_number 12
_space_group_name_Hall '-C 2y'
_cell_length_a 14.2989
_cell_length_b 8.6931
_cell_length_c 8.3412
_cell_angle_alpha 90.00
_cell_angle_beta 122.39
_cell_angle_gamma 90.00
loop_
_atom_site_label
_atom_site_type_symbol
_atom_site_fract_x
_atom_site_fract_y
_atom_site_fract_z
Ac1 Ac 0.0038 0.2441 0.2415
Ac2 Ac 0.2405 0.0000 0.2470
Ac3 Ac 0.2451 0.5000 0.2534
Co1 Co 0.0000 0.0000 0.0000
Rh1 Rh 0.0000 0.5000 0.0000
Rh2 Rh 0.2500 0.2500 0.5000

=====

6.
# KNp4Pt3Se12 | Alexandria | GGA-PBE | relaxed
# uncorrected energy = -6.32 eV/atom
# ρ = 7.754 g/cm³
data_KNp4Pt3Se12
_space_group_name_H-M_alt 'I m -3'
_space_group_IT_number 204
_space_group_name_Hall '-I 2 2 3'
_cell_length_a 10.2574
_cell_length_b 10.2574
_cell_length_c 10.2574
_cell_angle_alpha 90.00
_cell_angle_beta 90.00
_cell_angle_gamma 90.00
loop_
_atom_site_label
_atom_site_type_symbol
_atom_site_fract_x
_atom_site_fract_y
_atom_site_fract_z
K1 K 0.0000 0.0000 0.0000
Np1 Np 0.2500 0.2500 0.2500
Pt1 Pt 0.0000 0.0000 0.5000
Se1 Se 0.0000 0.1620 0.3205

=====

7.
# La3AuC | Alexandria | GGA-PBE | relaxed
# formation energy from the elements = -0.1080 eV/atom
# excess energy over the best structure of this formula in the dataset = 0.2727 eV/atom
# ρ = 6.886 g/cm³
data_La3AuC
_space_group_name_H-M_alt 'A m m 2'
_space_group_IT_number 38
_space_group_name_Hall 'A 2 -2'
_cell_length_a 3.7415
_cell_length_b 9.8956
_cell_length_c 8.1508
_cell_angle_alpha 90.00
_cell_angle_beta 90.00
_cell_angle_gamma 90.00
loop_
_atom_site_label
_atom_site_type_symbol
_atom_site_fract_x
_atom_site_fract_y
_atom_site_fract_z
La1 La 0.0000 0.0000 0.0000
La2 La 0.5000 0.1640 0.6304
Au1 Au 0.5000 0.0000 0.2922
C1 C 0.0000 0.0000 0.7039

=====

8.
# LuZrCoRu | Alexandria | GGA-PBE | relaxed
# formation energy from the elements = -0.4380 eV/atom
# ρ = 10.152 g/cm³
data_LuZrCoRu
_space_group_name_H-M_alt 'F -4 3 m'
_space_group_IT_number 216
_space_group_name_Hall 'F -4 2 3'
_cell_length_a 6.5332
_cell_length_b 6.5332
_cell_length_c 6.5332
_cell_angle_alpha 90.00
_cell_angle_beta 90.00
_cell_angle_gamma 90.00
loop_
_atom_site_label
_atom_site_type_symbol
_atom_site_fract_x
_atom_site_fract_y
_atom_site_fract_z
Lu1 Lu 0.0000 0.0000 0.0000
Zr1 Zr 0.0000 0.0000 0.5000
Co1 Co 0.2500 0.2500 0.2500
Ru1 Ru 0.2500 0.2500 0.7500

=====

9.
# CaTi3B4O12 | Alexandria | GGA-PBE | relaxed
# uncorrected energy = -8.30 eV/atom
# ρ = 3.352 g/cm³
data_CaTi3B4O12
_space_group_name_H-M_alt 'R 3 2'
_space_group_IT_number 155
_space_group_name_Hall 'R 3 2"'
_cell_length_a 9.7163
_cell_length_b 9.7163
_cell_length_c 7.6138
_cell_angle_alpha 90.00
_cell_angle_beta 90.00
_cell_angle_gamma 120.00
loop_
_atom_site_label
_atom_site_type_symbol
_atom_site_fract_x
_atom_site_fract_y
_atom_site_fract_z
Ca1 Ca 0.0000 0.0000 0.0000
Ti1 Ti 0.0000 0.5559 0.0000
B1 B 0.0000 0.0000 0.5000
B2 B 0.0000 0.4401 0.5000
O1 O 0.0000 0.5842 0.5000
O2 O 0.0000 0.8576 0.5000
O3 O 0.0306 0.2203 0.1874

=====

10.
# CsBeI2O | Alexandria | GGA-PBE | relaxed
# excess energy over the best structure of this formula in the dataset = 1.8736 eV/atom
# ρ = 2.970 g/cm³
data_CsBeI2O
_space_group_name_H-M_alt 'P 4/m m m'
_space_group_IT_number 123
_space_group_name_Hall '-P 4 2'
_cell_length_a 7.2497
_cell_length_b 7.2497
_cell_length_c 4.3804
_cell_angle_alpha 90.00
_cell_angle_beta 90.00
_cell_angle_gamma 90.00
loop_
_atom_site_label
_atom_site_type_symbol
_atom_site_fract_x
_atom_site_fract_y
_atom_site_fract_z
Cs1 Cs 0.0000 0.0000 0.0000
Be1 Be 0.5000 0.5000 0.5000
I1 I 0.0000 0.5000 0.0000
O1 O 0.0000 0.0000 0.5000

=====

11.
# MgP2IO | Alexandria | GGA-PBE | relaxed
# excess energy over the best structure of this formula in the dataset = 0.2955 eV/atom
# ρ = 3.586 g/cm³
data_MgP2IO
_space_group_name_H-M_alt 'P 4/m m m'
_space_group_IT_number 123
_space_group_name_Hall '-P 4 2'
_cell_length_a 5.1937
_cell_length_b 5.1937
_cell_length_c 3.9336
_cell_angle_alpha 90.00
_cell_angle_beta 90.00
_cell_angle_gamma 90.00
loop_
_atom_site_label
_atom_site_type_symbol
_atom_site_fract_x
_atom_site_fract_y
_atom_site_fract_z
Mg1 Mg 0.0000 0.0000 0.0000
P1 P 0.0000 0.5000 0.5000
I1 I 0.5000 0.5000 0.5000
O1 O 0.5000 0.5000 0.0000

=====

12.
# B2C | Alexandria | GGA-PBE | relaxed
# formation energy from the elements = 0.5231 eV/atom
# excess energy over the best structure of this formula in the dataset = 0.3378 eV/atom
# ρ = 2.209 g/cm³
data_B2C
_space_group_name_H-M_alt 'P -3 m 1'
_space_group_IT_number 164
_space_group_name_Hall '-P 3 2"'
_cell_length_a 2.7635
_cell_length_b 2.7635
_cell_length_c 15.2911
_cell_angle_alpha 90.00
_cell_angle_beta 90.00
_cell_angle_gamma 120.00
loop_
_atom_site_label
_atom_site_type_symbol
_atom_site_fract_x
_atom_site_fract_y
_atom_site_fract_z
B1 B 0.0000 0.0000 0.0556
B2 B 0.3333 0.6667 0.0785
B3 B 0.3333 0.6667 0.2915
B4 B 0.3333 0.6667 0.5913
C1 C 0.0000 0.0000 0.4538
C2 C 0.3333 0.6667 0.6991

=====

13.
# Na6AuF12 | Alexandria | GGA-PBE | relaxed
# uncorrected energy = -3.79 eV/atom
# ρ = 3.233 g/cm³
data_Na6AuF12
_space_group_name_H-M_alt 'R -3'
_space_group_IT_number 148
_space_group_name_Hall '-R 3'
_cell_length_a 10.1093
_cell_length_b 10.1093
_cell_length_c 9.8009
_cell_angle_alpha 90.00
_cell_angle_beta 90.00
_cell_angle_gamma 120.00
loop_
_atom_site_label
_atom_site_type_symbol
_atom_site_fract_x
_atom_site_fract_y
_atom_site_fract_z
Na1 Na 0.0234 0.7880 0.1306
Au1 Au 0.0000 0.0000 0.5000
F1 F 0.0205 0.7923 0.8975
F2 F 0.0215 0.8516 0.3873

=====

14.
# BaCuBi | Alexandria | GGA-PBE | relaxed
# formation energy from the elements = -0.5087 eV/atom
# ρ = 7.181 g/cm³
data_BaCuBi
_space_group_name_H-M_alt 'C 1 c 1'
_space_group_IT_number 9
_space_group_name_Hall 'C -2yc'
_cell_length_a 6.7998
_cell_length_b 6.7985
_cell_length_c 8.8771
_cell_angle_alpha 90.00
_cell_angle_beta 112.51
_cell_angle_gamma 90.00
loop_
_atom_site_label
_atom_site_type_symbol
_atom_site_fract_x
_atom_site_fract_y
_atom_site_fract_z
Ba1 Ba 0.0000 0.1250 0.0000
Cu1 Cu 0.4151 0.1252 0.8283
Bi1 Bi 0.0820 0.3748 0.6636

=====

15.
# Sr2HfZnAu | Alexandria | GGA-PBE | relaxed
# formation energy from the elements = 0.2719 eV/atom
# ρ = 5.407 g/cm³
data_Sr2HfZnAu
_space_group_name_H-M_alt 'P 4/m m m'
_space_group_IT_number 123
_space_group_name_Hall '-P 4 2'
_cell_length_a 6.0477
_cell_length_b 6.0477
_cell_length_c 5.1733
_cell_angle_alpha 90.00
_cell_angle_beta 90.00
_cell_angle_gamma 90.00
loop_
_atom_site_label
_atom_site_type_symbol
_atom_site_fract_x
_atom_site_fract_y
_atom_site_fract_z
Sr1 Sr 0.0000 0.5000 0.0000
Hf1 Hf 0.0000 0.0000 0.5000
Zn1 Zn 0.5000 0.5000 0.5000
Au1 Au 0.0000 0.0000 0.0000

=====

16.
# Nd5Dy2Y2 | Alexandria | GGA-PBE | relaxed
# formation energy from the elements = 0.0167 eV/atom
# excess energy over the best structure of this formula in the dataset = 0.0000 eV/atom
# ρ = 6.688 g/cm³
data_Nd5Dy2Y2
_space_group_name_H-M_alt 'C 1 2/m 1'
_space_group_IT_number 12
_space_group_name_Hall '-C 2y'
_cell_length_a 11.4807
_cell_length_b 5.1306
_cell_length_c 10.8710
_cell_angle_alpha 90.00
_cell_angle_beta 108.32
_cell_angle_gamma 90.00
loop_
_atom_site_label
_atom_site_type_symbol
_atom_site_fract_x
_atom_site_fract_y
_atom_site_fract_z
Nd1 Nd 0.0000 0.0000 0.0000
Nd2 Nd 0.1654 0.5000 0.5547
Nd3 Nd 0.1655 0.5000 0.8876
Dy1 Dy 0.0007 0.0000 0.3341
Y1 Y 0.1677 0.5000 0.2238

=====

17.
# Er6Ni2Rh | Alexandria | GGA-PBE | relaxed
# formation energy from the elements = -0.4401 eV/atom
# excess energy over the best structure of this formula in the dataset = 0.0000 eV/atom
# ρ = 9.845 g/cm³
data_Er6Ni2Rh
_space_group_name_H-M_alt 'I m m m'
_space_group_IT_number 71
_space_group_name_Hall '-I 2 2'
_cell_length_a 9.3393
_cell_length_b 9.3834
_cell_length_c 9.4220
_cell_angle_alpha 90.00
_cell_angle_beta 90.00
_cell_angle_gamma 90.00
loop_
_atom_site_label
_atom_site_type_symbol
_atom_site_fract_x
_atom_site_fract_y
_atom_site_fract_z
Er1 Er 0.0000 0.1914 0.1726
Er2 Er 0.1755 0.2380 0.5000
Er3 Er 0.1857 0.5000 0.2430
Ni1 Ni 0.0000 0.0000 0.3797
Ni2 Ni 0.1602 0.0000 0.0000
Rh1 Rh 0.0000 0.5000 0.0000
Rh2 Rh 0.0000 0.5000 0.5000

=====

18.
# ZnCu2O | Alexandria | GGA-PBE | relaxed
# excess energy over the best structure of this formula in the dataset = 0.2103 eV/atom
# ρ = 7.482 g/cm³
data_ZnCu2O
_space_group_name_H-M_alt 'F m -3 m'
_space_group_IT_number 225
_space_group_name_Hall '-F 4 2 3'
_cell_length_a 5.6989
_cell_length_b 5.6989
_cell_length_c 5.6989
_cell_angle_alpha 90.00
_cell_angle_beta 90.00
_cell_angle_gamma 90.00
loop_
_atom_site_label
_atom_site_type_symbol
_atom_site_fract_x
_atom_site_fract_y
_atom_site_fract_z
Zn1 Zn 0.0000 0.0000 0.0000
Cu1 Cu 0.2500 0.2500 0.2500
O1 O 0.0000 0.0000 0.5000

=====

19.
# Pr2Er2Bi2C | Alexandria | GGA-PBE | relaxed
# formation energy from the elements = -0.7152 eV/atom
# ρ = 8.950 g/cm³
data_Pr2Er2Bi2C
_space_group_name_H-M_alt 'I 4/m m m'
_space_group_IT_number 139
_space_group_name_Hall '-I 4 2'
_cell_length_a 4.8227
_cell_length_b 4.8227
_cell_length_c 16.6932
_cell_angle_alpha 90.00
_cell_angle_beta 90.00
_cell_angle_gamma 90.00
loop_
_atom_site_label
_atom_site_type_symbol
_atom_site_fract_x
_atom_site_fract_y
_atom_site_fract_z
Pr1 Pr 0.0000 0.0000 0.1606
Er1 Er 0.0000 0.5000 0.0000
Bi1 Bi 0.0000 0.0000 0.3629
C1 C 0.0000 0.0000 0.0000

=====

20.
# MgTiVCl2 | Alexandria | GGA-PBE | relaxed
# uncorrected energy = -4.26 eV/atom
# ρ = 3.053 g/cm³
data_MgTiVCl2
_space_group_name_H-M_alt 'P 4/m m m'
_space_group_IT_number 123
_space_group_name_Hall '-P 4 2'
_cell_length_a 4.7461
_cell_length_b 4.7461
_cell_length_c 4.6852
_cell_angle_alpha 90.00
_cell_angle_beta 90.00
_cell_angle_gamma 90.00
loop_
_atom_site_label
_atom_site_type_symbol
_atom_site_fract_x
_atom_site_fract_y
_atom_site_fract_z
Mg1 Mg 0.0000 0.0000 0.0000
Ti1 Ti 0.5000 0.5000 0.0000
V1 V 0.5000 0.5000 0.5000
Cl1 Cl 0.0000 0.5000 0.5000

=====

Number 1: Fermi-level density of states 1.37 states/eV/atom. Number 2: Fermi-level density of states 0.70 states/eV/atom. Number 3: Fermi-level density of states 2.18 states/eV/atom. Number 4: Fermi-level density of states 0.37 states/eV/atom. Number 5: Fermi-level density of states 0.90 states/eV/atom. Number 6: Fermi-level density of states 1.90 states/eV/atom. Number 7: Fermi-level density of states 1.01 states/eV/atom. Number 8: Fermi-level density of states 0.51 states/eV/atom. Number 9: Fermi-level density of states 0.45 states/eV/atom. Number 10: Fermi-level density of states 1.36 states/eV/atom. Number 11: Fermi-level density of states 0.67 states/eV/atom. Number 12: Fermi-level density of states 0.13 states/eV/atom. Number 13: Fermi-level density of states 0.59 states/eV/atom. Number 14: Fermi-level density of states 0.02 states/eV/atom. Number 15: Fermi-level density of states 1.22 states/eV/atom. Number 16: Fermi-level density of states 1.47 states/eV/atom. Number 17: Fermi-level density of states 0.90 states/eV/atom. Number 18: Fermi-level density of states 0.34 states/eV/atom. Number 19: Fermi-level density of states 0.93 states/eV/atom. Number 20: Fermi-level density of states 0.95 states/eV/atom.